w | Density functional theory data (PBE) for an optimized crystal structure of TiCuPt4.

Cell: 2.7923 7.4591 8.8987 Å, 90.00 90.00 90.00°
Closest atoms and distances in Å follow each position.
Element x y z (fractional)
Pt  0.5000  0.1305  0.7500  2 Ti 2.74, 8 Pt 2.79-2.88, 2 Cu 2.80
Ti  0.0000  0.8145  0.7500  8 Pt 2.62-2.74, 1 Cu 2.67, 2 Ti 2.79
Pt  0.0000  0.0000  0.0000  2 Ti 2.62, 10 Pt 2.79-2.82
Pt  0.5000  0.8695  0.2500  2 Ti 2.74, 8 Pt 2.79-2.88, 2 Cu 2.80
Pt  0.5000  0.3273  0.0291  6 Pt 2.63-2.88, 2 Ti 2.63, 2 Cu 2.90
Pt  0.5000  0.3273  0.4709  6 Pt 2.63-2.88, 2 Ti 2.63, 2 Cu 2.90
Pt  0.5000  0.6727  0.9709  6 Pt 2.63-2.88, 2 Ti 2.63, 2 Cu 2.90
Pt  0.5000  0.6727  0.5291  6 Pt 2.63-2.88, 2 Ti 2.63, 2 Cu 2.90
Ti  0.0000  0.1855  0.2500  8 Pt 2.62-2.74, 1 Cu 2.67, 2 Ti 2.79
Pt  0.0000  0.0000  0.5000  2 Ti 2.62, 10 Pt 2.79-2.82
Cu  0.0000  0.4565  0.7500  1 Ti 2.67, 2 Cu 2.79, 6 Pt 2.80-2.90
Cu  0.0000  0.5435  0.2500  1 Ti 2.67, 2 Cu 2.79, 6 Pt 2.80-2.90

**M_tot**: 0.00 μB per formula unit
**Crystal system**: orthorhombic

***

x | Density functional theory data (PBE) for an optimized crystal structure of TiCuPt4.

Cell: 2.8397 4.5634 7.8515 Å, 82.62 79.58 71.87°
Closest atoms and distances in Å follow each position.
Element x y z (fractional)
Pt  0.1508  0.0457  0.6527  3 Ti 2.63-2.72, 1 Cu 2.67, 7 Pt 2.81-2.85
Pt  0.6525  0.5410  0.1541  3 Cu 2.65-2.71, 1 Ti 2.66, 7 Pt 2.81-2.85
Pt  0.8492  0.9543  0.3473  3 Ti 2.63-2.72, 1 Cu 2.67, 7 Pt 2.81-2.85
Pt  0.3475  0.4590  0.8459  3 Cu 2.65-2.71, 1 Ti 2.66, 7 Pt 2.81-2.85
Ti  0.5000  0.5000  0.5000  8 Pt 2.63-2.72, 2 Ti 2.84
Cu  0.0000  0.0000  0.0000  8 Pt 2.65-2.71, 2 Cu 2.84

**M_tot**: 0.00 μB per formula unit
**Crystal system**: monoclinic

***

Verdict on stability: x comes out at the bottom.

***

w | Density functional theory data (PBE) for an optimized crystal structure of TiCu3Pt.

Cell: 4.7045 4.8061 6.2606 Å, 90.00 93.86 90.00°
Closest atoms and distances in Å follow each position.
Element x y z (fractional)
Cu  0.1163  0.0018  0.1883  5 Cu 2.39-2.53, 2 Pt 2.63-2.66
Pt  0.5969  0.2500  0.1077  7 Cu 2.54-2.74, 3 Ti 2.71-2.73
Cu  0.1342  0.7500  0.5275  6 Cu 2.44-2.73, 1 Pt 2.54, 1 Ti 2.70
Cu  0.8837  0.5018  0.8117  5 Cu 2.39-2.53, 2 Pt 2.63-2.66
Ti  0.3798  0.2500  0.6914  8 Cu 2.70-2.83, 3 Pt 2.71-2.73
Cu  0.1163  0.4982  0.1883  5 Cu 2.39-2.53, 2 Pt 2.63-2.66
Cu  0.8658  0.2500  0.4725  6 Cu 2.44-2.73, 1 Pt 2.54, 1 Ti 2.70
Pt  0.4031  0.7500  0.8923  7 Cu 2.54-2.74, 3 Ti 2.71-2.73
Cu  0.8837  0.9982  0.8117  5 Cu 2.39-2.53, 2 Pt 2.63-2.66
Ti  0.6202  0.7500  0.3086  8 Cu 2.70-2.83, 3 Pt 2.71-2.73

**M_tot**: 0.00 μB per formula unit
**Crystal system**: monoclinic

***

x | Density functional theory data (PBE) for an optimized crystal structure of TiCu3Pt.

Cell: 4.4601 4.4601 4.4601 Å, 90.00 90.00 90.00°
Closest atoms and distances in Å follow each position.
Element x y z (fractional)
Cu  0.0000  0.5000  0.0000  2 Ti 2.23
Ti  0.0000  0.0000  0.0000  6 Cu 2.23
Cu  0.0000  0.0000  0.5000  2 Ti 2.23
Cu  0.5000  0.0000  0.0000  2 Ti 2.23
Pt  0.5000  0.5000  0.5000  12 Cu 3.15

**M_tot**: 1.74 μB per formula unit
**Crystal system**: cubic

***

Verdict on stability: x comes out at the bottom.

***

w | Density functional theory data (PBE) for an optimized crystal structure of TiCuPt.

Cell: 2.7143 4.3182 4.3182 Å, 120.00 90.00 90.00°
Closest atoms and distances in Å follow each position.
Element x y z (fractional)
Cu  0.3053  0.6667  0.3333  3 Pt 2.60, 3 Ti 2.67, 2 Cu 2.71
Pt  0.0325  0.0000  0.0000  3 Cu 2.60, 3 Ti 2.69, 2 Pt 2.71
Ti  0.6622  0.3333  0.6667  3 Cu 2.67, 3 Pt 2.69, 2 Ti 2.71

**M_tot**: 0.00 μB per formula unit
**Crystal system**: trigonal

***

x | Density functional theory data (PBE) for an optimized crystal structure of TiCuPt.

Cell: 3.2162 3.2084 8.6085 Å, 90.00 90.00 90.00°
Closest atoms and distances in Å follow each position.
Element x y z (fractional)
Pt  0.8723  0.2909  0.5110  4 Ti 2.63, 5 Cu 2.68-2.75
Cu  0.3729  0.7919  0.6904  4 Cu 2.54, 5 Pt 2.68-2.75
Cu  0.8728  0.2916  0.8220  4 Cu 2.54, 5 Pt 2.68-2.75
Ti  0.8722  0.2907  0.1556  4 Pt 2.63, 4 Ti 2.86, 1 Cu 2.87
Ti  0.3722  0.7908  0.3566  4 Pt 2.63, 4 Ti 2.86, 1 Cu 2.87
Pt  0.3723  0.7908  0.0013  4 Ti 2.63, 5 Cu 2.68-2.75

**M_tot**: 0.00 μB per formula unit
**Crystal system**: tetragonal

***

y | Density functional theory data (PBE) for an optimized crystal structure of TiCuPt.

Cell: 3.6884 3.9848 11.8686 Å, 90.00 90.00 90.00°
Closest atoms and distances in Å follow each position.
Element x y z (fractional)
Pt  0.4994  0.2500  0.4177  4 Cu 2.70-2.83, 6 Ti 2.72-2.79, 2 Pt 2.79
Pt  0.5006  0.7500  0.5823  4 Cu 2.70-2.83, 6 Ti 2.72-2.79, 2 Pt 2.79
Cu  0.0008  0.7500  0.7488  4 Ti 2.62-2.71, 4 Pt 2.70-2.83, 4 Cu 2.72
Cu  0.4992  0.7500  0.2488  4 Ti 2.62-2.71, 4 Pt 2.70-2.83, 4 Cu 2.72
Ti  0.9995  0.7500  0.4059  4 Cu 2.62-2.71, 6 Pt 2.72-2.79
Ti  0.0005  0.2500  0.5941  4 Cu 2.62-2.71, 6 Pt 2.72-2.79
Cu  0.5008  0.2500  0.7512  4 Ti 2.62-2.71, 4 Pt 2.70-2.83, 4 Cu 2.72
Ti  0.4995  0.2500  0.0941  4 Cu 2.62-2.71, 6 Pt 2.72-2.79
Pt  0.9994  0.7500  0.0823  4 Cu 2.70-2.83, 6 Ti 2.72-2.79, 2 Pt 2.79
Ti  0.5005  0.7500  0.9059  4 Cu 2.62-2.71, 6 Pt 2.72-2.79
Cu  0.9992  0.2500  0.2512  4 Ti 2.62-2.71, 4 Pt 2.70-2.83, 4 Cu 2.72
Pt  0.0006  0.2500  0.9177  4 Cu 2.70-2.83, 6 Ti 2.72-2.79, 2 Pt 2.79

**M_tot**: 0.00 μB per formula unit
**Crystal system**: orthorhombic

***

Verdict on stability: w comes out at the bottom.

***

w | Density functional theory data (PBE) for an optimized crystal structure of TlCu2Pt2.

Cell: 3.8439 3.8439 6.5026 Å, 72.81 72.81 90.00°
Closest atoms and distances in Å follow each position.
Element x y z (fractional)
Pt  0.7500  0.2500  0.5000  4 Cu 2.59, 4 Pt 2.72
Cu  0.3976  0.3976  0.2048  1 Cu 2.42, 4 Pt 2.59
Pt  0.2500  0.7500  0.5000  4 Cu 2.59, 4 Pt 2.72
Tl  0.0000  0.0000  0.0000  8 Cu 2.98
Cu  0.6024  0.6024  0.7952  1 Cu 2.42, 4 Pt 2.59

**M_tot**: 0.00 μB per formula unit
**Crystal system**: tetragonal

***

x | Density functional theory data (PBE) for an optimized crystal structure of TlCu2Pt2.

Cell: 7.4088 7.4088 2.9304 Å, 90.00 90.00 90.00°
Closest atoms and distances in Å follow each position.
Element x y z (fractional)
Pt  0.8307  0.3307  0.5000  6 Cu 2.62-2.64, 2 Pt 2.93
Cu  0.8764  0.6236  0.0000  1 Cu 2.59, 6 Pt 2.62-2.64
Pt  0.1693  0.6693  0.5000  6 Cu 2.62-2.64, 2 Pt 2.93
Pt  0.6693  0.8307  0.5000  6 Cu 2.62-2.64, 2 Pt 2.93
Pt  0.3307  0.1693  0.5000  6 Cu 2.62-2.64, 2 Pt 2.93
Cu  0.1236  0.3764  0.0000  1 Cu 2.59, 6 Pt 2.62-2.64
Cu  0.3764  0.8764  0.0000  1 Cu 2.59, 6 Pt 2.62-2.64
Cu  0.6236  0.1236  0.0000  1 Cu 2.59, 6 Pt 2.62-2.64
Tl  0.0000  0.0000  0.0000  2 Tl 2.93, 4 Cu 2.93, 8 Pt 3.12
Tl  0.5000  0.5000  0.0000  2 Tl 2.93, 4 Cu 2.93, 8 Pt 3.12

**M_tot**: 0.00 μB per formula unit
**Crystal system**: tetragonal

***

Verdict on stability: w comes out at the bottom.